[1]
# SrCuBr3

A relaxed SrCuBr3 crystal (PBE, the Alexandria database).

```
SrCuBr3
1.0
-4.413 1.107 0.873
-2.263 -7.785 -1.021
0.386 -3.747 7.250
Br Cu Sr
6 2 2
Direct
0.500 0.898 0.722
0.500 0.283 0.337
0.984 0.621 0.445
0.994 0.556 0.995
0.984 0.006 0.060
0.491 0.348 0.787
0.743 0.268 0.075
0.743 0.637 0.707
0.987 0.189 0.629
0.498 0.715 0.154
```

Calculated values
The space-group type is Cm, No. 8.

=====

[2]
# SrCuBr2

A relaxed SrCuBr2 crystal (PBE, the Alexandria database).

```
SrCuBr2
1.0
-2.954 2.751 -1.362
-1.500 -3.023 -2.854
-4.405 -3.460 2.563
Cu Sr Br
1 1 2
Direct
0.000 0.639 0.386
0.500 0.582 0.783
0.500 0.282 0.385
0.000 0.997 0.946
```

Calculated values
The space-group type is Pm, No. 6.

=====

Going through the records in order, we get M_tot values of 0.011 0.000 μB/atom.
Going through the records in order, we get ΔE_f (raw) values of -6.60 -3.77 eV per formula unit.